## TcB4 (PBE-GGA)

Data for TcB4 after structural relaxation.

Values from the calculation:
Crystal system: cubic
Energy of formation, eV per atom: 1.90
Magnetic moment, μB/f.u.: 0.00
D(E_F), states/eV per atom: 0.5545
Offset from the most stable computed form, eV/f.u.: 7.65

Unit cell a=4.081 b=4.081 c=4.081 alpha=90.00 beta=90.00 gamma=90.00
Positions (direct):
B (0.000, 0.500, 0.500)
B (0.500, 0.000, 0.500)
B (0.000, 0.000, 0.000)
B (0.500, 0.500, 0.000)
Tc (0.500, 0.500, 0.500)